# U3Al5S12, optimized geometry, DFT PBE
data_U3Al5S12
_cell_length_a 14.977
_cell_length_b 14.977
_cell_length_c 14.977
_cell_angle_alpha 90.00
_cell_angle_beta 90.00
_cell_angle_gamma 90.00
_symmetry_space_group_name_H-M 'I a -3 d'
_symmetry_Int_Tables_number 230
_symmetry_space_group_name_Hall '-I 4bd 2c 3'
loop_
_atom_site_label
_atom_site_fract_x
_atom_site_fract_y
_atom_site_fract_z
U1 0.000 0.250 0.125
Al1 0.000 0.000 0.000
Al2 0.000 0.250 0.375
S1 0.029 0.058 0.649
# total magnetization: 0.444 μB/atom
# formation energy (no corrections): -2209 kJ/mol of formula units
# volume: 21.0 Å³/atom



# HoZnRu, optimized geometry, DFT PBE
data_HoZnRu
_cell_length_a 4.3619
_cell_length_b 4.3619
_cell_length_c 3.4889
_cell_angle_alpha 90.00
_cell_angle_beta 90.00
_cell_angle_gamma 120.00
_symmetry_space_group_name_H-M 'P -6 m 2'
_symmetry_Int_Tables_number 187
_symmetry_space_group_name_Hall 'P -6 2'
loop_
_atom_site_label
_atom_site_fract_x
_atom_site_fract_y
_atom_site_fract_z
Ho1 0.0000 0.0000 0.0000
Zn1 0.3333 0.6667 0.5000
Ru1 0.6667 0.3333 0.5000
# total magnetization: 0.000 μB/atom
# volume: 19.2 Å³/atom
# ΔE_f: -0.28 eV per atom



# SmEr5Ag4, optimized geometry, DFT PBE
data_SmEr5Ag4
_cell_length_a 3.579
_cell_length_b 3.579
_cell_length_c 19.637
_cell_angle_alpha 90.00
_cell_angle_beta 90.00
_cell_angle_gamma 90.00
_symmetry_space_group_name_H-M 'P 4/m m m'
_symmetry_Int_Tables_number 123
_symmetry_space_group_name_Hall '-P 4 2'
loop_
_atom_site_label
_atom_site_fract_x
_atom_site_fract_y
_atom_site_fract_z
Sm1 0.000 0.000 0.000
Er1 0.500 0.500 0.128
Er2 0.500 0.500 0.313
Er3 0.500 0.500 0.500
Ag1 0.000 0.000 0.220
Ag2 0.000 0.000 0.407
# total magnetization: 0.000 μB/atom
# volume: 25.2 Å³/atom
# ΔE_f: -0.26 eV per atom